Compound: Tb2CePmHg4
Source: Alexandria via LeMat-Bulk
Functional: PBE-GGA
Structure: optimized geometry

Geometry as CIF:
```
data_Tb2CePmHg4
_chemical_formula_sum 'Tb6 Ce3 Pm3 Hg12'
_cell_length_a 5.3522
_cell_length_b 5.3522
_cell_length_c 26.1932
_cell_angle_alpha 90.00
_cell_angle_beta 90.00
_cell_angle_gamma 120.00
_symmetry_space_group_name_H-M 'R -3 m'
_symmetry_Int_Tables_number 166
_symmetry_space_group_name_Hall '-R 3 2"'
loop_
_atom_site_label
_atom_site_type_symbol
_atom_site_fract_x
_atom_site_fract_y
_atom_site_fract_z
_atom_site_occupancy
Tb1 Tb 0.0000 0.0000 0.2492 1
Ce1 Ce 0.0000 0.0000 0.5000 1
Pm1 Pm 0.0000 0.0000 0.0000 1
Hg1 Hg 0.0000 0.0000 0.1242 1
Hg2 Hg 0.0000 0.0000 0.3744 1
```

Calculated values
The calculation puts the formation energy at -423 meV per atom. As for the crystal system: trigonal.

Compound: CaSmCd5
Source: Alexandria via LeMat-Bulk
Functional: PBE-GGA
Structure: optimized geometry

Geometry as CIF:
```
data_CaSmCd5
_chemical_formula_sum 'Ca2 Sm2 Cd10'
_cell_length_a 6.484
_cell_length_b 8.780
_cell_length_c 6.802
_cell_angle_alpha 90.00
_cell_angle_beta 90.00
_cell_angle_gamma 90.00
_symmetry_space_group_name_H-M 'C m m m'
_symmetry_Int_Tables_number 65
_symmetry_space_group_name_Hall '-C 2 2'
loop_
_atom_site_label
_atom_site_type_symbol
_atom_site_fract_x
_atom_site_fract_y
_atom_site_fract_z
_atom_site_occupancy
Ca1 Ca 0.000 0.000 0.000 1
Sm1 Sm 0.000 0.500 0.500 1
Cd1 Cd 0.000 0.500 0.000 1
Cd2 Cd 0.250 0.250 0.262 1
```

Calculated values
The calculation puts the formation energy at -138 meV per atom. As for the crystal system: orthorhombic.

Compound: Sr2InAs2
Source: Alexandria via LeMat-Bulk
Functional: PBE-GGA
Structure: optimized geometry

Geometry as CIF:
```
data_Sr2InAs2
_chemical_formula_sum 'Sr8 In4 As8'
_cell_length_a 4.384
_cell_length_b 16.838
_cell_length_c 8.502
_cell_angle_alpha 90.00
_cell_angle_beta 90.00
_cell_angle_gamma 90.00
_symmetry_space_group_name_H-M 'C m c 21'
_symmetry_Int_Tables_number 36
_symmetry_space_group_name_Hall 'C 2c -2'
loop_
_atom_site_label
_atom_site_type_symbol
_atom_site_fract_x
_atom_site_fract_y
_atom_site_fract_z
_atom_site_occupancy
Sr1 Sr 0.000 0.041 0.000 1
Sr2 Sr 0.000 0.195 0.624 1
In1 In 0.000 0.402 0.841 1
As1 As 0.000 0.185 0.240 1
As2 As 0.000 0.448 0.210 1
```

Calculated values
The calculation puts the formation energy at -834 meV per atom. As for the crystal system: orthorhombic.

Compound: Pr2SmHoAs4
Source: Alexandria via LeMat-Bulk
Functional: PBE-GGA
Structure: optimized geometry

Geometry as CIF:
```
data_Pr2SmHoAs4
_chemical_formula_sum 'Pr2 Sm1 Ho1 As4'
_cell_length_a 7.329
_cell_length_b 4.237
_cell_length_c 7.333
_cell_angle_alpha 90.00
_cell_angle_beta 109.47
_cell_angle_gamma 90.00
_symmetry_space_group_name_H-M 'P 1 2/m 1'
_symmetry_Int_Tables_number 10
_symmetry_space_group_name_Hall '-P 2y'
loop_
_atom_site_label
_atom_site_type_symbol
_atom_site_fract_x
_atom_site_fract_y
_atom_site_fract_z
_atom_site_occupancy
Pr1 Pr 0.000 0.000 0.000 1
Pr2 Pr 0.000 0.500 0.500 1
Sm1 Sm 0.500 0.000 0.500 1
Ho1 Ho 0.500 0.500 0.000 1
As1 As 0.258 0.500 0.249 1
As2 As 0.260 0.000 0.756 1
```

Calculated values
The calculation puts the formation energy at -1506 meV per atom. As for the crystal system: monoclinic.

Compound: PIrPt
Source: Alexandria via LeMat-Bulk
Functional: PBE-GGA
Structure: optimized geometry

Geometry as CIF:
```
data_PIrPt
_chemical_formula_sum 'P1 Ir1 Pt1'
_cell_length_a 3.7860
_cell_length_b 3.7860
_cell_length_c 3.6735
_cell_angle_alpha 90.00
_cell_angle_beta 90.00
_cell_angle_gamma 120.00
_symmetry_space_group_name_H-M 'P 3 m 1'
_symmetry_Int_Tables_number 156
_symmetry_space_group_name_Hall 'P 3 -2"'
loop_
_atom_site_label
_atom_site_type_symbol
_atom_site_fract_x
_atom_site_fract_y
_atom_site_fract_z
_atom_site_occupancy
P1 P 0.0000 0.0000 0.0000 1
Ir1 Ir 0.3333 0.6667 0.8032 1
Pt1 Pt 0.6667 0.3333 0.3175 1
```

Calculated values
The calculation puts the formation energy at -301 meV per atom. As for the crystal system: trigonal.

Compound: Tl2PbBr2
Source: Alexandria via LeMat-Bulk
Functional: PBE-GGA
Structure: optimized geometry

Geometry as CIF:
```
data_Tl2PbBr2
_chemical_formula_sum 'Tl4 Pb2 Br4'
_cell_length_a 5.361
_cell_length_b 5.361
_cell_length_c 13.331
_cell_angle_alpha 90.00
_cell_angle_beta 90.00
_cell_angle_gamma 90.00
_symmetry_space_group_name_H-M 'I 4/m m m'
_symmetry_Int_Tables_number 139
_symmetry_space_group_name_Hall '-I 4 2'
loop_
_atom_site_label
_atom_site_type_symbol
_atom_site_fract_x
_atom_site_fract_y
_atom_site_fract_z
_atom_site_occupancy
Tl1 Tl 0.000 0.000 0.124 1
Pb1 Pb 0.000 0.000 0.500 1
Br1 Br 0.000 0.500 0.250 1
```

Calculated values
As for the crystal system: tetragonal. Its formation energy without anion corrections is -0.9 eV per formula unit.

Compound: SrMg2CdIr
Source: Alexandria via LeMat-Bulk
Functional: PBE-GGA
Structure: optimized geometry

Geometry as CIF:
```
data_SrMg2CdIr
_chemical_formula_sum 'Sr1 Mg2 Cd1 Ir1'
_cell_length_a 5.023
_cell_length_b 5.023
_cell_length_c 5.323
_cell_angle_alpha 90.00
_cell_angle_beta 90.00
_cell_angle_gamma 90.00
_symmetry_space_group_name_H-M 'P 4/m m m'
_symmetry_Int_Tables_number 123
_symmetry_space_group_name_Hall '-P 4 2'
loop_
_atom_site_label
_atom_site_type_symbol
_atom_site_fract_x
_atom_site_fract_y
_atom_site_fract_z
_atom_site_occupancy
Sr1 Sr 0.000 0.000 0.000 1
Mg1 Mg 0.000 0.500 0.500 1
Cd1 Cd 0.500 0.500 0.000 1
Ir1 Ir 0.500 0.500 0.500 1
```

Calculated values
The calculation puts the formation energy at -196 meV per atom. As for the crystal system: tetragonal.

no.,V (Å³/cell)
1,650
2,387
3,628
4,215
5,46
6,383
7,134